P | Compound: BTeP2S
Source: Alexandria
Functional: PBE
Structure: optimized geometry

abc: 4.311 4.311 4.181
angles: 90.00 90.00 90.00
Space group P4/mmm (No. 123)
Asymmetric unit:
1 B 0.000 0.000 0.000 [1 per cell]
2 Te 0.500 0.500 0.500 [1 per cell]
3 P 0.000 0.500 0.000 [2 per cell]
4 S 0.000 0.000 0.500 [1 per cell]

Results
crystal system = tetragonal

Q | Compound: BTeP2S
Source: Alexandria
Functional: PBE
Structure: optimized geometry

abc: 5.098 5.098 5.098
angles: 90.00 90.00 90.00
Space group P4/mmm (No. 123)
Asymmetric unit:
1 B 0.000 0.000 0.000 [1 per cell]
2 Te 0.500 0.500 0.500 [1 per cell]
3 P 0.000 0.500 0.500 [2 per cell]
4 S 0.500 0.500 0.000 [1 per cell]

Results
crystal system = tetragonal

P is favored, and the nearest alternative lies 1.225 eV/atom above it.

P | Compound: TiBP2S
Source: Alexandria
Functional: PBE
Structure: optimized geometry

abc: 3.900 3.900 4.764
angles: 90.00 90.00 90.00
Space group P4/mmm (No. 123)
Asymmetric unit:
1 Ti 0.000 0.000 0.000 [1 per cell]
2 B 0.500 0.500 0.500 [1 per cell]
3 P 0.000 0.500 0.500 [2 per cell]
4 S 0.500 0.500 0.000 [1 per cell]

Results
crystal system = tetragonal

Q | Compound: TiBP2S
Source: Alexandria
Functional: PBE
Structure: optimized geometry

abc: 4.710 4.710 4.642
angles: 90.00 90.00 90.00
Space group P4/mmm (No. 123)
Asymmetric unit:
1 Ti 0.000 0.000 0.000 [1 per cell]
2 B 0.500 0.500 0.500 [1 per cell]
3 P 0.000 0.500 0.000 [2 per cell]
4 S 0.000 0.000 0.500 [1 per cell]

Results
crystal system = tetragonal

P is favored, and the nearest alternative lies 0.514 eV/atom above it.

P | Compound: TlBP2S
Source: Alexandria
Functional: PBE
Structure: optimized geometry

abc: 4.253 4.253 4.652
angles: 90.00 90.00 90.00
Space group P4/mmm (No. 123)
Asymmetric unit:
1 Tl 0.000 0.000 0.000 [1 per cell]
2 B 0.500 0.500 0.500 [1 per cell]
3 P 0.000 0.500 0.500 [2 per cell]
4 S 0.500 0.500 0.000 [1 per cell]

Results
crystal system = tetragonal

Q | Compound: TlBP2S
Source: Alexandria
Functional: PBE
Structure: optimized geometry

abc: 5.147 5.147 5.213
angles: 90.00 90.00 90.00
Space group P4/mmm (No. 123)
Asymmetric unit:
1 Tl 0.000 0.000 0.000 [1 per cell]
2 B 0.500 0.500 0.500 [1 per cell]
3 P 0.000 0.500 0.000 [2 per cell]
4 S 0.000 0.000 0.500 [1 per cell]

Results
crystal system = tetragonal

P is favored, and the nearest alternative lies 1.345 eV/atom above it.

P | Compound: BP2WS
Source: Alexandria
Functional: PBE
Structure: optimized geometry

abc: 4.061 4.061 4.040
angles: 90.00 90.00 90.00
Space group P4/mmm (No. 123)
Asymmetric unit:
1 B 0.000 0.000 0.000 [1 per cell]
2 P 0.000 0.500 0.000 [2 per cell]
3 W 0.500 0.500 0.500 [1 per cell]
4 S 0.000 0.000 0.500 [1 per cell]

Results
crystal system = tetragonal

Q | Compound: BP2WS
Source: Alexandria
Functional: PBE
Structure: optimized geometry

abc: 4.753 4.753 4.590
angles: 90.00 90.00 90.00
Space group P4/mmm (No. 123)
Asymmetric unit:
1 B 0.000 0.000 0.000 [1 per cell]
2 P 0.000 0.500 0.500 [2 per cell]
3 W 0.500 0.500 0.500 [1 per cell]
4 S 0.500 0.500 0.000 [1 per cell]

Results
crystal system = tetragonal

P is favored, and the nearest alternative lies 0.235 eV/atom above it.